First-principles (PBE) data for an optimized crystal structure of La3Tb6SmTm2, as listed in Alexandria.

Geometry as extended XYZ:
```
12
Lattice="-6.217 0.525 -0.089 2.699 -5.410 -1.541 0.725 -1.790 11.773" Properties=species:S:1:pos:R:3 pbc="T T T"
Tb -3.586 -4.035 7.918
Tb -0.342 -2.590 8.488
Tb 0.793 -2.642 2.225
Tb -0.607 -6.018 7.433
Tb -2.186 -0.658 2.710
Tb -2.451 -4.086 1.656
La -4.366 -1.361 5.555
La 1.573 -5.315 4.588
La -1.396 -3.338 5.072
Tm -0.272 -3.433 -1.057
Tm -3.246 -1.453 -0.573
Sm 0.000 0.000 0.000
```

- Energy: -4.663 eV per atom
- Total magnetization: 0.00 μB per atom
- ρ: 7.79 Mg/m³
- Energy relative to the elements: 0.022 eV/atom



First-principles (PBE) data for an optimized crystal structure of CaFeBi3, as listed in Alexandria.

Geometry as extended XYZ:
```
5
Lattice="-2.286 -3.669 -2.953 0.488 -3.449 3.908 -4.684 1.431 1.848" Properties=species:S:1:pos:R:3 pbc="T T T"
Bi -2.342 0.716 0.924
Bi -1.143 -1.834 -1.476
Bi 0.244 -1.725 1.954
Fe 0.000 0.000 0.000
Ca -3.241 -2.843 1.402
```

- Energy: -4.270 eV per atom
- Total magnetization: 0.00 μB per atom
- ρ: 8.37 Mg/m³
- Energy relative to the elements: 0.151 eV/atom



First-principles (PBE) data for an optimized crystal structure of YCo3Hg, as listed in Alexandria.

Geometry as extended XYZ:
```
5
Lattice="-1.063 -4.115 -2.147 2.874 -2.313 3.010 -3.645 -0.624 3.000" Properties=species:S:1:pos:R:3 pbc="T T T"
Hg 0.000 0.000 0.000
Y -0.917 -3.526 1.932
Co 1.437 -1.157 1.505
Co -1.822 -0.312 1.500
Co -0.532 -2.058 -1.074
```

- Energy: -4.540 eV per atom
- Total magnetization: 0.86 μB per atom
- ρ: 7.17 Mg/m³
- Energy relative to the elements: 1.077 eV/atom